{"formula": "SiTe2Mo", "functional": "PBE-GGA", "state": "relaxed", "lattice_angstrom": [[6.883, 0.003, 0.002], [4.632, 5.092, -0.002], [-5.417, -3.317, 2.652]], "species": ["Mo", "Te", "Te", "Si"], "frac_coords": [[0.512, 0.512, 0.000], [0.688, 0.188, 0.500], [0.964, 0.964, 0.000], [0.336, 0.836, 0.500]], "total_magnetization_mub_per_cell": 0.00, "formation_energy_uncorrected_ev_per_atom": 0.4172, "crystal_system": "orthorhombic", "space_group": "Imm2 (44)"}